1.
This record from Alexandria describes a relaxed structure of NiIrO2. The functional is PBE with a Hubbard U.

**Crystal system**: trigonal
**SG**: R-3m, No. 166
**Relative energy among the computed polymorphs**: 42.08 kJ/mol of atoms

abc: 5.8333 5.8333 5.8333
angles: 32.01 32.01 32.01
Last column: nearest neighbours and their distance in Å.
Atoms (fractional coordinates):
Ni1 0.0000 0.0000 0.0000  2 O 1.88
Ir1 0.5000 0.5000 0.5000  6 O 2.06
O1 0.8869 0.8869 0.8869  1 Ni 1.88, 3 Ir 2.06
O2 0.1131 0.1131 0.1131  1 Ni 1.88, 3 Ir 2.06


2.
This record from Alexandria describes a relaxed structure of NiIrO2. The functional is PBE with a Hubbard U.

**Crystal system**: monoclinic
**SG**: Pm, No. 6
**Relative energy among the computed polymorphs**: 30.10 kJ/mol of atoms

abc: 6.1447 6.6874 2.7889
angles: 65.36 90.00 109.52
Last column: nearest neighbours and their distance in Å.
Atoms (fractional coordinates):
Ni1 0.9064 0.1631 0.7667  4 O 1.85-1.89
Ni2 0.0222 0.6686 0.2613  4 O 1.95-1.97
Ir1 0.3876 0.0845 0.3452  3 O 1.95-2.17
Ir2 0.4646 0.5031 0.9267  2 O 1.87-2.04
O1 0.1285 0.2347 0.1951  2 Ni 1.89, 2 Ir 2.11
O2 0.6954 0.0619 0.3679  2 Ni 1.85, 1 Ir 1.95
O3 0.7915 0.6396 0.7903  1 Ir 1.87, 2 Ni 1.95
O4 0.2593 0.7015 0.7283  2 Ni 1.97, 2 Ir 2.04-2.17


3.
This record from Alexandria describes a relaxed structure of PaNi2IrO8. The functional is PBE with a Hubbard U.

**Crystal system**: monoclinic
**E_tot**: -6.81 eV/atom
**SG**: P2/m, No. 10

abc: 4.6861 4.6769 6.5268
angles: 90.00 90.00 91.49
Last column: nearest neighbours and their distance in Å.
Atoms (fractional coordinates):
Pa1 0.0000 0.0000 0.5000  6 O 2.03-2.24
Ni1 0.5000 0.5000 0.7603  6 O 2.04-2.10
Ni2 0.5000 0.5000 0.2397  6 O 2.04-2.10
Ir1 0.0000 0.0000 0.0000  6 O 1.88-1.96
O1 0.1954 0.8026 0.2216  1 Ir 1.96, 1 Ni 2.04
O2 0.7114 0.7128 0.0000  1 Ir 1.88, 2 Ni 2.09
O3 0.8046 0.1974 0.2216  1 Ir 1.96, 1 Ni 2.04
O4 0.8046 0.1974 0.7784  1 Ir 1.96, 1 Ni 2.04
O5 0.2886 0.2872 0.0000  1 Ir 1.88, 2 Ni 2.09
O6 0.1954 0.8026 0.7784  1 Ir 1.96, 1 Ni 2.04
O7 0.6893 0.6906 0.5000  1 Pa 2.03, 2 Ni 2.10
O8 0.3107 0.3094 0.5000  1 Pa 2.03, 2 Ni 2.10


Density of states at the Fermi level values, unit states/eV per cell, following the record order: 1.15; 3.53; 4.68.